Crystalline UTcAs at its relaxed geometry, computed with GGA-PBE.

Unit cell a=3.1912 b=3.1912 c=10.7230 alpha=90.00 beta=90.00 gamma=90.00
Last column: nearest neighbours and their distance in Å.
Space group I4mm (No. 107)
Inequivalent atoms, fractional coordinates:
U: 0.0000 0.0000 0.0000  4 Tc 2.96, 5 As 3.11-3.22, 4 U 3.19
Tc: 0.0000 0.0000 0.6787  4 As 2.61
As: 0.0000 0.0000 0.3002  4 Tc 2.61

Results
M_tot in μB per formula unit: 1.9
Excess energy over the best structure of this formula in the dataset in eV/atom: 0.210
E_form in eV per atom: -0.20